# CeGaPdPb

CeGaPdPb after structural relaxation (PBE-GGA, Alexandria via LeMat-Bulk). Values from VASP.

Results
Its theoretical density is 9.68 g/cm3. Its total moment is 0.97 μB/f.u. The energy of formation comes out at -0.46 eV/atom.

Quantum ESPRESSO input file:
```
&SYSTEM
  ibrav = 0, nat = 4, ntyp = 4
/
ATOMIC_SPECIES
Pb 207.20 Pb.upf
Ga 69.72 Ga.upf
Pd 106.42 Pd.upf
Ce 140.12 Ce.upf
CELL_PARAMETERS angstrom
5.026 0.000 0.000
2.513 4.352 0.000
2.513 1.451 4.103
ATOMIC_POSITIONS crystal
Pb 0.000 0.000 0.000
Ga 0.250 0.250 0.250
Pd 0.750 0.750 0.750
Ce 0.500 0.500 0.500
```